Record 1
Density functional theory data (PBE) for a relaxed RbMgP2O crystal.

```
RbMgP2O
1.0
4.0625 0.0000 0.0000
2.0287 4.6615 0.0000
2.0043 0.2644 6.8297
Rb Mg P O
1 1 2 1
Cartesian
0.0000 0.0000 0.0000
6.0645 3.6811 3.6236
4.0337 2.1609 4.4731
4.0331 2.6497 2.3858
4.0352 0.5795 4.7995
```

The calculation puts the polymorph energy (0 for the lowest one) at 10 kJ/mol of formula units.



Record 2
Density functional theory data (PBE) for a relaxed RbMgPO4 crystal.

```
RbMgPO4
1.0
5.3386 0.0000 0.0000
0.0000 5.6065 0.0000
-0.0295 0.0000 8.1132
Rb Mg P O
2 2 2 8
Cartesian
1.2313 1.4016 3.8506
4.0778 4.2049 4.2626
0.7253 1.4016 7.9753
4.5838 4.2049 0.1379
1.5601 4.2049 1.7157
3.7490 1.4016 6.3975
0.7739 2.9830 1.1016
0.7739 5.4268 1.1016
1.4212 4.2049 3.2429
2.2704 1.4016 6.8065
3.0386 4.2049 1.3067
3.8878 1.4016 4.8703
4.5352 0.1797 7.0116
4.5352 2.6235 7.0116
```

The calculation puts the polymorph energy (0 for the lowest one) at 16 kJ/mol of formula units.



Record 3
Density functional theory data (PBE) for a relaxed RbMgPO4 crystal.

```
RbMgPO4
1.0
8.9741 0.0000 0.0000
0.0000 9.5202 0.0000
0.0000 0.0000 5.4553
Rb Mg P O
4 4 4 16
Cartesian
0.0360 1.9481 0.0000
4.4510 6.7082 2.7276
4.5231 2.8120 0.0000
8.9380 7.5720 2.7276
1.6369 5.5141 0.1325
2.8502 0.7540 2.8601
6.1239 8.7662 0.1325
7.3372 4.0061 2.8601
1.8272 3.9317 2.8681
2.6598 8.6918 0.1404
6.3142 0.8284 2.8681
7.1469 5.5885 0.1404
0.2852 3.9299 2.8590
2.1280 0.2684 1.1112
2.1230 8.9842 4.1631
2.1649 7.3101 0.6410
2.3221 2.5500 3.3687
2.3640 4.2241 1.4354
2.3591 5.0285 3.8388
4.2018 8.6900 0.1314
4.7722 0.8301 2.8590
6.6150 4.4917 1.1112
6.6100 5.2961 4.1631
6.6519 6.9701 0.6410
6.8092 2.2100 3.3687
6.8511 0.5360 1.4354
6.8461 9.2518 3.8388
8.6889 5.5902 0.1314
```

The calculation puts the polymorph energy (0 for the lowest one) at 0 kJ/mol of formula units.



Record 4
Density functional theory data (PBE) for a relaxed RbMgP2O crystal.

```
RbMgP2O
1.0
5.4084 0.0000 0.0000
0.0000 5.4084 0.0000
0.0000 0.0000 3.8367
Rb Mg P O
1 1 2 1
Cartesian
0.0000 0.0000 0.0000
2.7042 2.7042 1.9183
0.0000 2.7042 1.9183
2.7042 0.0000 1.9183
2.7042 2.7042 0.0000
```

The calculation puts the polymorph energy (0 for the lowest one) at 537 kJ/mol of formula units.



Number 1: VASP energy -0.1700 Ha/atom. Number 2: VASP energy -0.2374 Ha/atom. Number 3: VASP energy -0.2383 Ha/atom. Number 4: VASP energy -0.1298 Ha/atom.